DFT (GGA-PBE) results for a relaxed TlCrFe2 crystal.

Cell and atoms, written as POSCAR:
```
TlCrFe2
1.0
3.136 0.000 0.000
0.000 3.136 0.000
0.000 0.000 5.893
Tl Cr Fe
1 1 2
Direct
0.000 0.000 0.000
0.000 0.000 0.500
0.500 0.500 0.303
0.500 0.500 0.697
```

- ΔE_f (eV/atom) = 0.48

DFT (GGA-PBE) results for a relaxed In2Ag5Pd12 crystal.

Cell and atoms, written as POSCAR:
```
In2Ag5Pd12
1.0
7.046 -4.723 0.000
7.046 4.723 0.000
-1.164 0.000 4.815
In Ag Pd
2 5 12
Direct
0.248 0.752 0.000
0.752 0.248 0.000
0.000 0.000 0.500
0.217 0.217 0.561
0.327 0.327 0.129
0.673 0.673 0.871
0.783 0.783 0.439
0.049 0.550 0.794
0.111 0.111 0.014
0.150 0.648 0.388
0.352 0.850 0.612
0.443 0.443 0.709
0.450 0.951 0.206
0.550 0.049 0.794
0.557 0.557 0.291
0.648 0.150 0.388
0.850 0.352 0.612
0.889 0.889 0.986
0.951 0.450 0.206
```

- ΔE_f (eV/atom) = -0.13

DFT (GGA-PBE) results for a relaxed Li2USnCl8 crystal.

Cell and atoms, written as POSCAR:
```
Li2USnCl8
1.0
6.636 0.000 0.000
-1.349 6.742 0.000
-0.008 -2.567 8.166
Li U Sn Cl
2 1 1 8
Direct
0.043 0.359 0.327
0.957 0.641 0.673
0.500 0.000 0.000
0.500 0.000 0.500
0.119 0.725 0.449
0.143 0.748 0.935
0.365 0.219 0.283
0.385 0.215 0.821
0.615 0.785 0.179
0.635 0.781 0.717
0.857 0.252 0.065
0.881 0.275 0.551
```

- ΔE_f (raw) (eV per atom) = -1.56

Number 1: total magnetization 4.71 Bohr magnetons per cell. Number 2: total magnetization 0.00 Bohr magnetons per cell. Number 3: total magnetization 2.00 Bohr magnetons per cell.